# TlS2N2

A relaxed TlS2N2 crystal (PBE, the Alexandria database).

Calculated values
* symmetry: P4/mmm (123)
* offset from the most stable computed form: 1.882 eV/atom
* calculated volume: 26.5 Å³ per atom
* magnetization: 7.1 Bohr magnetons per cell

Lattice parameters (Å, degrees): 5.3450 5.3450 4.6416 90.00 90.00 90.00
Last column: nearest neighbours and their distance in Å.
Fractional coordinates of all 5 atoms:
1 Tl 0.0000 0.0000 0.0000  2 N 2.32
2 S 0.0000 0.5000 0.0000  2 Tl 2.67
3 S 0.5000 0.0000 0.0000  2 Tl 2.67
4 N 0.0000 0.0000 0.5000  2 Tl 2.32
5 N 0.5000 0.5000 0.5000  8 S 3.54, 4 N 3.78

=====

# TlSN2

A relaxed TlSN2 crystal (PBE, the Alexandria database).

Calculated values
* symmetry: R-3m (166)
* offset from the most stable computed form: 0.359 eV/atom
* calculated volume: 13.7 Å³ per atom
* magnetization: 0.0 Bohr magnetons per cell

Lattice parameters (Å, degrees): 7.6496 7.6496 7.6496 21.98 21.98 21.98
Last column: nearest neighbours and their distance in Å.
Fractional coordinates of all 4 atoms:
1 Tl 0.0000 0.0000 0.0000  2 N 2.75, 6 Tl 2.92
2 S 0.5000 0.5000 0.5000  6 N 1.95
3 N 0.1226 0.1226 0.1226  3 S 1.95
4 N 0.8774 0.8774 0.8774  3 S 1.95

=====

# Tl3SN

A relaxed Tl3SN crystal (PBE, the Alexandria database).

Calculated values
* symmetry: P-1 (2)
* offset from the most stable computed form: 0.000 eV/atom
* calculated volume: 26.4 Å³ per atom
* magnetization: 0.0 Bohr magnetons per cell

Lattice parameters (Å, degrees): 3.8068 7.0448 10.4878 77.46 89.91 74.45
Last column: nearest neighbours and their distance in Å.
Fractional coordinates of all 10 atoms:
1 Tl 0.0471 0.4077 0.3401  2 N 2.64-2.65
2 Tl 0.3056 0.8899 0.3725  2 N 2.61
3 Tl 0.3347 0.8284 0.9046  1 N 2.15
4 Tl 0.6653 0.1716 0.0954  1 N 2.15
5 Tl 0.6944 0.1101 0.6275  2 N 2.61
6 Tl 0.9529 0.5923 0.6599  2 N 2.64-2.65
7 S 0.1263 0.2523 0.9226  2 Tl 2.60
8 S 0.8737 0.7477 0.0774  2 Tl 2.60
9 N 0.3266 0.8438 0.6974  1 Tl 2.15
10 N 0.6734 0.1562 0.3026  1 Tl 2.15